Compound: Tl2InSn
Source: Alexandria
Functional: GGA-PBE
Structure: relaxed

Output
The total magnetization is 0.0 Bohr magnetons per cell. For the energy above the most stable polymorph in this dataset, the calculation gives 0.329 eV/atom. The total energy is -40.291 eV/cell. The value obtained for the density of states at the Fermi level is 0.934 states/eV/atom. The calculation puts the energy relative to the elements at 0.35 eV/atom.

Cell and atoms, written as POSCAR:
```
Tl2InSn
1.0
6.8746 0.0000 0.0000
0.0000 6.8746 0.0000
0.0000 0.0000 13.5757
Tl In Sn
8 4 4
Cartesian
1.6619 1.7187 1.6970
1.7187 5.0992 5.0909
1.7187 5.2127 11.8788
1.7754 1.7187 8.4848
5.0992 5.1560 8.4848
5.1560 1.6619 11.8788
5.1560 1.7754 5.0909
5.2127 5.1560 1.6970
0.0000 0.0000 6.7879
0.0000 3.4373 10.1818
3.4373 0.0000 3.3939
3.4373 3.4373 0.0000
0.0000 0.0000 0.0000
0.0000 3.4373 3.3939
3.4373 0.0000 10.1818
3.4373 3.4373 6.7879
```



Compound: Rb2ZnAs2O6
Source: Alexandria
Functional: GGA-PBE
Structure: relaxed

Output
The total magnetization is 0.0 Bohr magnetons per cell. The total energy is -57.720 eV/cell. The value obtained for the density of states at the Fermi level is 0.000 states/eV/atom.

Cell and atoms, written as POSCAR:
```
Rb2ZnAs2O6
1.0
6.0854 -2.7943 0.0000
6.0854 2.7943 0.0000
-2.4698 0.0000 5.9238
Rb Zn As O
2 1 2 6
Cartesian
2.1576 0.0000 1.1167
7.5434 0.0000 4.8072
-1.2349 0.0000 2.9619
3.8397 0.0000 4.6935
5.8612 0.0000 1.2304
4.8867 1.4177 1.4748
4.8143 1.4177 4.4490
2.3326 0.0000 3.9233
7.3684 0.0000 2.0006
4.8867 -1.4177 1.4748
4.8143 -1.4177 4.4490
```



Compound: Ag2OsSe
Source: Alexandria
Functional: GGA-PBE
Structure: relaxed

Output
The total magnetization is 0.0 Bohr magnetons per cell. The total energy is -66.757 eV/cell. The value obtained for the density of states at the Fermi level is 1.504 states/eV/atom.

Cell and atoms, written as POSCAR:
```
Ag2OsSe
1.0
7.6566 0.0000 0.0000
0.0000 7.6566 0.0000
0.0000 0.0000 5.0648
Ag Os Se
8 4 4
Cartesian
1.8583 1.9141 0.6331
1.9141 5.6866 1.8993
1.9141 5.7982 4.4317
1.9700 1.9141 3.1655
5.6866 5.7424 3.1655
5.7424 1.8583 4.4317
5.7424 1.9700 1.8993
5.7982 5.7424 0.6331
0.0000 0.0000 2.5324
0.0000 3.8283 3.7986
3.8283 0.0000 1.2662
3.8283 3.8283 0.0000
0.0000 0.0000 0.0000
0.0000 3.8283 1.2662
3.8283 0.0000 3.7986
3.8283 3.8283 2.5324
```



Please write out number 2 again, unchanged.
Compound: Rb2ZnAs2O6
Source: Alexandria
Functional: GGA-PBE
Structure: relaxed

Output
The total magnetization is 0.0 Bohr magnetons per cell. The total energy is -57.720 eV/cell. The value obtained for the density of states at the Fermi level is 0.000 states/eV/atom.

Cell and atoms, written as POSCAR:
```
Rb2ZnAs2O6
1.0
6.0854 -2.7943 0.0000
6.0854 2.7943 0.0000
-2.4698 0.0000 5.9238
Rb Zn As O
2 1 2 6
Cartesian
2.1576 0.0000 1.1167
7.5434 0.0000 4.8072
-1.2349 0.0000 2.9619
3.8397 0.0000 4.6935
5.8612 0.0000 1.2304
4.8867 1.4177 1.4748
4.8143 1.4177 4.4490
2.3326 0.0000 3.9233
7.3684 0.0000 2.0006
4.8867 -1.4177 1.4748
4.8143 -1.4177 4.4490
```